Record 1
## CeLuMgOs (PBE-GGA)

Data for a relaxed structure of CeLuMgOs.

Geometry as CIF:
```
data_CeLuMgOs
_space_group_name_H-M_alt 'F -4 3 m'
_space_group_IT_number 216
_space_group_name_Hall 'F -4 2 3'
_cell_length_a 7.047
_cell_length_b 7.047
_cell_length_c 7.047
_cell_angle_alpha 90.00
_cell_angle_beta 90.00
_cell_angle_gamma 90.00
loop_
_atom_site_label
_atom_site_type_symbol
_atom_site_fract_x
_atom_site_fract_y
_atom_site_fract_z
Ce1 Ce 0.000 0.000 0.000
Lu1 Lu 0.000 0.000 0.500
Mg1 Mg 0.250 0.250 0.750
Os1 Os 0.250 0.250 0.250
```

=====

Record 2
## MgNb2Cd (PBE-GGA)

Data for a relaxed structure of MgNb2Cd.

Geometry as CIF:
```
data_MgNb2Cd
_space_group_name_H-M_alt 'I -4 2 d'
_space_group_IT_number 122
_space_group_name_Hall 'I -4 2bw'
_cell_length_a 7.816
_cell_length_b 7.816
_cell_length_c 5.359
_cell_angle_alpha 90.00
_cell_angle_beta 90.00
_cell_angle_gamma 90.00
loop_
_atom_site_label
_atom_site_type_symbol
_atom_site_fract_x
_atom_site_fract_y
_atom_site_fract_z
Mg1 Mg 0.000 0.000 0.000
Nb1 Nb 0.247 0.250 0.625
Cd1 Cd 0.000 0.000 0.500
```

=====

Energy of formation from the pure elements? In order: -113.5; 685.9 meV/atom.
Size of the total moment? In order: 0.000; 0.000 μB/f.u..